Zr2Al6Ni: single point on PBEsol structure, SCAN.

a b c (Å): 3.0694 7.6226 7.6226
angles (deg): 120.00 90.00 90.00
Fractional positions:
1 Al 0.0000 0.7504 0.7504
2 Al 0.0000 0.0000 0.2496
3 Al 0.0000 0.2496 0.0000
4 Al 0.5000 0.3461 0.3461
5 Al 0.5000 0.0000 0.6539
6 Al 0.5000 0.6539 0.0000
7 Ni 0.5000 0.0000 0.0000
8 Zr 0.0000 0.6667 0.3333
9 Zr 0.0000 0.3333 0.6667

Output
electronic total energy = -14.04 eV per atom
magnetic moment = 0.0 Bohr magnetons per cell
ΔH_f (0 K) = -0.258 eV/atom
Fermi-level density of states = 0.4458 states/eV/atom